[1]
A relaxed CaY2Th crystal. Source: the Alexandria database, functional GGA-PBE.

Unit cell a=3.629 b=3.629 c=12.108 alpha=81.38 beta=81.38 gamma=60.00
Element x y z (fractional)
Y: 0.078 0.078 0.767
Ca: 0.500 0.500 0.499
Th: 0.666 0.666 0.001
Y: 0.255 0.255 0.234

Properties
Crystal system = trigonal
VASP energy = -5.549 eV per atom
Calculated density = 5492 kg/m3
Relative energy among the computed polymorphs = 0.0 kJ/mol of atoms
Space-group type = R3m, No. 160

[2]
A relaxed Pm2Y2Al15 crystal. Source: the Alexandria database, functional GGA-PBE.

Unit cell a=7.274 b=7.274 c=7.274 alpha=83.29 beta=83.29 gamma=83.29
Last column: magnetic moment on the atom in μB.
Element x y z (fractional)
Y: 0.108 0.108 0.108  0.15
Al: 0.644 0.644 0.154  0.00
Al: 0.846 0.356 0.356  0.00
Al: 0.708 0.292 0.000  0.00
Al: 0.000 0.708 0.292  0.00
Al: 0.500 0.000 0.000  0.00
Al: 0.708 0.000 0.292  0.00
Al: 0.356 0.846 0.356  0.00
Al: 0.292 0.708 0.000  0.00
Al: 0.000 0.000 0.500  0.00
Al: 0.292 0.000 0.708  0.00
Al: 0.644 0.154 0.644  0.00
Al: 0.000 0.500 0.000  0.00
Pm: 0.638 0.638 0.638  0.05
Al: 0.000 0.292 0.708  0.00
Pm: 0.362 0.362 0.362  0.05
Al: 0.154 0.644 0.644  0.00
Y: 0.892 0.892 0.892  0.15
Al: 0.356 0.356 0.846  0.00

Properties
Crystal system = trigonal
VASP energy = -4.392 eV per atom
Calculated density = 3837 kg/m3
Space-group type = R-3m, No. 166

[3]
A relaxed Y3CdF crystal. Source: the Alexandria database, functional GGA-PBE.

Unit cell a=4.894 b=4.894 c=4.894 alpha=90.00 beta=90.00 gamma=90.00
Element x y z (fractional)
Cd: 0.500 0.500 0.500
F: 0.000 0.000 0.000
Y: 0.000 0.000 0.500
Y: 0.000 0.500 0.000
Y: 0.500 0.000 0.000

Properties
Crystal system = cubic
Formation energy (no corrections) = -0.971 eV per atom
VASP energy = -5.407 eV per atom
Calculated density = 5640 kg/m3
Relative energy among the computed polymorphs = 0.0 kJ/mol of atoms
Space-group type = Pm-3m, No. 221

[4]
A relaxed PdPb2I crystal. Source: the Alexandria database, functional GGA-PBE.

Unit cell a=3.693 b=3.693 c=8.080 alpha=90.00 beta=90.00 gamma=90.00
Element x y z (fractional)
Pd: 0.500 0.500 0.000
I: 0.500 0.500 0.500
Pb: 0.000 0.000 0.204
Pb: 0.000 0.000 0.796

Properties
Crystal system = tetragonal
Formation energy (no corrections) = -0.154 eV per atom
VASP energy = -3.694 eV per atom
Calculated density = 9762 kg/m3
Relative energy among the computed polymorphs = 3.9 kJ/mol of atoms
Space-group type = P4/mmm, No. 123

[5]
A relaxed KLiRu crystal. Source: the Alexandria database, functional GGA-PBE.

Unit cell a=4.862 b=4.862 c=4.862 alpha=60.00 beta=60.00 gamma=60.00
Last column: magnetic moment on the atom in μB.
Element x y z (fractional)
Li: 0.750 0.750 0.750  -0.05
Ru: 0.000 0.000 0.000  1.95
K: 0.500 0.500 0.500  0.00

Properties
Crystal system = cubic
VASP energy = -2.745 eV per atom
Calculated density = 3005 kg/m3
Relative energy among the computed polymorphs = 55.9 kJ/mol of atoms
Space-group type = F-43m, No. 216

[6]
A relaxed TaRhAu2 crystal. Source: the Alexandria database, functional GGA-PBE.

Unit cell a=4.568 b=4.568 c=4.568 alpha=60.00 beta=60.00 gamma=60.00
Element x y z (fractional)
Au: 0.750 0.750 0.750
Au: 0.250 0.250 0.250
Rh: 0.000 0.000 0.000
Ta: 0.500 0.500 0.500

Properties
Crystal system = cubic
VASP energy = -6.423 eV per atom
Calculated density = 16701 kg/m3
Relative energy among the computed polymorphs = 23.4 kJ/mol of atoms
Space-group type = Fm-3m, No. 225